No. 1
Computed, not measured: a relaxed structure of RbAs2AuBr at the GGA-PBE level of DFT.

## Properties
* total moment: 5.027 μB per formula unit
* V: 63.3 Å³ per atom
* excess energy over the best structure of this formula in the dataset: 115.3 kJ/mol of atoms

a b c (Å): 7.1500 7.1500 6.1874
angles (deg): 90.00 90.00 90.00
With the nearest neighbours (Å) after each atom.
Element x y z (fractional)
Au  0.5000  0.5000  0.5000  8 As 4.73, 4 Br 5.06
Rb  0.0000  0.0000  0.0000  2 Br 3.09
As  0.0000  0.5000  0.0000  2 Rb 3.58
As  0.5000  0.0000  0.0000  2 Rb 3.58
Br  0.0000  0.0000  0.5000  2 Rb 3.09



No. 2
Computed, not measured: a relaxed structure of RbAsAuBr2 at the GGA-PBE level of DFT.

## Properties
* total moment: 1.967 μB per formula unit
* V: 33.1 Å³ per atom
* excess energy over the best structure of this formula in the dataset: 0.0 kJ/mol of atoms

a b c (Å): 5.7425 5.7425 5.0113
angles (deg): 90.00 90.00 90.00
With the nearest neighbours (Å) after each atom.
Element x y z (fractional)
Br  0.5000  0.0000  0.0000  2 Au 2.87
Br  0.0000  0.5000  0.0000  2 Au 2.87
Rb  0.5000  0.5000  0.5000  8 Br 3.81, 4 As 4.06
Au  0.0000  0.0000  0.0000  2 As 2.51
As  0.0000  0.0000  0.5000  2 Au 2.51



No. 3
Computed, not measured: a relaxed structure of Rb2AsAuBr6 at the GGA-PBE level of DFT.

## Properties
* total moment: 0.000 μB per formula unit
* V: 33.0 Å³ per atom
* raw total energy: -28.55 eV/cell

a b c (Å): 7.7565 7.7565 7.7565
angles (deg): 60.00 60.00 60.00
With the nearest neighbours (Å) after each atom.
Element x y z (fractional)
Au  0.5000  0.5000  0.5000  6 Br 2.80
Br  0.2450  0.2450  0.7550  1 As 2.69, 1 Au 2.80
Br  0.2450  0.7550  0.7550  1 As 2.69, 1 Au 2.80
Br  0.7550  0.2450  0.7550  1 As 2.69, 1 Au 2.80
Br  0.2450  0.7550  0.2450  1 As 2.69, 1 Au 2.80
Br  0.7550  0.7550  0.2450  1 As 2.69, 1 Au 2.80
Br  0.7550  0.2450  0.2450  1 As 2.69, 1 Au 2.80
Rb  0.2500  0.2500  0.2500  12 Br 3.88
Rb  0.7500  0.7500  0.7500  12 Br 3.88
As  0.0000  0.0000  0.0000  6 Br 2.69



No. 4
Computed, not measured: a relaxed structure of RbAsAuBr2 at the GGA-PBE level of DFT.

## Properties
* total moment: 3.103 μB per formula unit
* V: 55.6 Å³ per atom
* excess energy over the best structure of this formula in the dataset: 98.6 kJ/mol of atoms

a b c (Å): 6.3802 6.3802 6.8257
angles (deg): 90.00 90.00 90.00
With the nearest neighbours (Å) after each atom.
Element x y z (fractional)
Br  0.0000  0.5000  0.0000  2 Rb 3.19
Br  0.5000  0.0000  0.0000  2 Rb 3.19
Rb  0.0000  0.0000  0.0000  4 Br 3.19, 2 As 3.41
As  0.0000  0.0000  0.5000  2 Rb 3.41
Au  0.5000  0.5000  0.5000  4 As 4.51, 8 Br 4.67



No. 5
Computed, not measured: a relaxed structure of RbAs2AuBr at the GGA-PBE level of DFT.

## Properties
* total moment: 0.452 μB per formula unit
* V: 37.9 Å³ per atom
* excess energy over the best structure of this formula in the dataset: 0.0 kJ/mol of atoms

a b c (Å): 4.9255 4.9255 7.8192
angles (deg): 90.00 90.00 90.00
With the nearest neighbours (Å) after each atom.
Element x y z (fractional)
As  0.5000  0.0000  0.0000  2 Au 2.46
As  0.0000  0.5000  0.0000  2 Au 2.46
Au  0.0000  0.0000  0.0000  4 As 2.46
Rb  0.5000  0.5000  0.5000  4 Br 3.48
Br  0.0000  0.0000  0.5000  4 Rb 3.48



No. 6
Computed, not measured: a relaxed structure of ReAs2AuBr at the GGA-PBE level of DFT.

## Properties
* total moment: 0.000 μB per formula unit
* V: 24.3 Å³ per atom
* excess energy over the best structure of this formula in the dataset: 0.0 kJ/mol of atoms

a b c (Å): 4.7455 4.7455 5.3991
angles (deg): 90.00 90.00 90.00
With the nearest neighbours (Å) after each atom.
Element x y z (fractional)
Br  0.0000  0.0000  0.5000  2 Re 2.70
As  0.0000  0.5000  0.0000  2 Re 2.37
As  0.5000  0.0000  0.0000  2 Re 2.37
Re  0.0000  0.0000  0.0000  4 As 2.37
Au  0.5000  0.5000  0.5000  4 Br 3.36, 8 As 3.59



No. 7
Computed, not measured: a relaxed structure of ReAsAuBr2 at the GGA-PBE level of DFT.

## Properties
* total moment: 1.105 μB per formula unit
* V: 25.4 Å³ per atom
* excess energy over the best structure of this formula in the dataset: 0.0 kJ/mol of atoms

a b c (Å): 5.1510 5.1510 4.7850
angles (deg): 90.00 90.00 90.00
With the nearest neighbours (Å) after each atom.
Element x y z (fractional)
Br  0.5000  0.0000  0.0000  2 Re 2.58
Br  0.0000  0.5000  0.0000  2 Re 2.58
Au  0.5000  0.5000  0.5000  8 Br 3.52, 4 As 3.64
As  0.0000  0.0000  0.5000  2 Re 2.39
Re  0.0000  0.0000  0.0000  2 As 2.39, 4 Br 2.58



No. 8
Computed, not measured: a relaxed structure of As2RhAuBr at the GGA-PBE level of DFT.

## Properties
* total moment: 0.000 μB per formula unit
* V: 23.7 Å³ per atom
* excess energy over the best structure of this formula in the dataset: 0.0 kJ/mol of atoms

a b c (Å): 4.7481 4.7481 5.2586
angles (deg): 90.00 90.00 90.00
With the nearest neighbours (Å) after each atom.
Element x y z (fractional)
Rh  0.0000  0.0000  0.0000  4 As 2.37, 2 Br 2.63
As  0.5000  0.0000  0.0000  2 Rh 2.37
As  0.0000  0.5000  0.0000  2 Rh 2.37
Br  0.0000  0.0000  0.5000  2 Rh 2.63
Au  0.5000  0.5000  0.5000  4 Br 3.36, 8 As 3.54



No. 9
Computed, not measured: a relaxed structure of SbAsAuBr2 at the GGA-PBE level of DFT.

## Properties
* total moment: 0.000 μB per formula unit
* V: 28.0 Å³ per atom
* excess energy over the best structure of this formula in the dataset: 0.0 kJ/mol of atoms

a b c (Å): 5.1419 5.1419 5.3027
angles (deg): 90.00 90.00 90.00
With the nearest neighbours (Å) after each atom.
Element x y z (fractional)
As  0.0000  0.0000  0.5000  2 Au 2.65
Br  0.0000  0.5000  0.0000  2 Au 2.57
Br  0.5000  0.0000  0.0000  2 Au 2.57
Sb  0.5000  0.5000  0.5000  4 As 3.64, 8 Br 3.69
Au  0.0000  0.0000  0.0000  4 Br 2.57, 2 As 2.65



No. 10
Computed, not measured: a relaxed structure of SbAs2AuBr at the GGA-PBE level of DFT.

## Properties
* total moment: 0.049 μB per formula unit
* V: 26.7 Å³ per atom
* excess energy over the best structure of this formula in the dataset: 0.0 kJ/mol of atoms

a b c (Å): 5.1248 5.1248 5.0768
angles (deg): 90.00 90.00 90.00
With the nearest neighbours (Å) after each atom.
Element x y z (fractional)
Au  0.0000  0.0000  0.0000  2 Br 2.54, 4 As 2.56
Br  0.0000  0.0000  0.5000  2 Au 2.54
As  0.0000  0.5000  0.0000  2 Au 2.56
As  0.5000  0.0000  0.0000  2 Au 2.56
Sb  0.5000  0.5000  0.5000  8 As 3.61, 4 Br 3.62



No. 11
Computed, not measured: a relaxed structure of ScAs2AuBr at the GGA-PBE level of DFT.

## Properties
* total moment: 0.510 μB per formula unit
* V: 27.5 Å³ per atom
* excess energy over the best structure of this formula in the dataset: 0.0 kJ/mol of atoms

a b c (Å): 5.2156 5.2156 5.0627
angles (deg): 90.00 90.00 90.00
With the nearest neighbours (Å) after each atom.
Element x y z (fractional)
Au  0.5000  0.5000  0.5000  8 As 3.63, 4 Br 3.69
Br  0.0000  0.0000  0.5000  2 Sc 2.53
Sc  0.0000  0.0000  0.0000  2 Br 2.53, 4 As 2.61
As  0.5000  0.0000  0.0000  2 Sc 2.61
As  0.0000  0.5000  0.0000  2 Sc 2.61



No. 12
Computed, not measured: a relaxed structure of ScAs2AuBr at the GGA-PBE level of DFT.

## Properties
* total moment: 0.000 μB per formula unit
* V: 26.2 Å³ per atom
* excess energy over the best structure of this formula in the dataset: 17.1 kJ/mol of atoms

a b c (Å): 5.0346 5.0346 5.1602
angles (deg): 90.00 90.00 90.00
With the nearest neighbours (Å) after each atom.
Element x y z (fractional)
Sc  0.5000  0.5000  0.5000  4 Br 3.56, 8 As 3.60
Br  0.0000  0.0000  0.5000  2 Au 2.58
Au  0.0000  0.0000  0.0000  4 As 2.52, 2 Br 2.58
As  0.0000  0.5000  0.0000  2 Au 2.52
As  0.5000  0.0000  0.0000  2 Au 2.52



No. 13
Computed, not measured: a relaxed structure of AsAuSe2Br at the GGA-PBE level of DFT.

## Properties
* total moment: 0.000 μB per formula unit
* V: 26.6 Å³ per atom
* excess energy over the best structure of this formula in the dataset: 0.0 kJ/mol of atoms

a b c (Å): 5.0837 5.0837 5.1490
angles (deg): 90.00 90.00 90.00
With the nearest neighbours (Å) after each atom.
Element x y z (fractional)
Se  0.5000  0.0000  0.0000  2 As 2.54
Se  0.0000  0.5000  0.0000  2 As 2.54
Br  0.0000  0.0000  0.5000  2 As 2.57
Au  0.5000  0.5000  0.5000  4 Br 3.59, 8 Se 3.62
As  0.0000  0.0000  0.0000  4 Se 2.54, 2 Br 2.57



No. 14
Computed, not measured: a relaxed structure of AsAuSeBr2 at the GGA-PBE level of DFT.

## Properties
* total moment: 2.374 μB per formula unit
* V: 30.2 Å³ per atom
* excess energy over the best structure of this formula in the dataset: 20.0 kJ/mol of atoms

a b c (Å): 5.5099 4.9690 5.5099
angles (deg): 90.00 90.00 90.00
With the nearest neighbours (Å) after each atom.
Element x y z (fractional)
Au  0.0000  0.5000  0.0000  2 Se 2.48
Br  0.0000  0.0000  0.5000  2 Se 2.75
Br  0.5000  0.0000  0.0000  2 Se 2.75
As  0.5000  0.5000  0.5000  8 Br 3.71, 4 Au 3.90
Se  0.0000  0.0000  0.0000  2 Au 2.48, 4 Br 2.75